(1)
# HoNbC2

A relaxed HoNbC2 crystal (PBE-GGA, Alexandria via LeMat-Bulk).

Cell lengths 3.275, 3.275, 6.115 Å; angles 74.47, 74.47, 60.00 degrees
Atoms (fractional coordinates):
Ho 0.496 0.496 0.513
Nb 0.670 0.670 0.991
C 0.073 0.073 0.781
C 0.261 0.261 0.216

Computed properties:
The total energy comes out at -33.8 eV per formula unit. As for the space group: R3m (160). The calculation puts the theoretical density at 8.67 g cm⁻³.

=====

(2)
# HoNbC

A relaxed HoNbC crystal (PBE-GGA, Alexandria via LeMat-Bulk).

Cell lengths 3.301, 3.301, 5.499 Å; angles 90.00, 90.00, 120.00 degrees
Atoms (fractional coordinates):
C 0.667 0.333 0.363
Nb 0.333 0.667 0.558
Ho 0.000 0.000 0.080

Computed properties:
The total energy comes out at -24.6 eV per formula unit. As for the space group: P3m1 (156). The calculation puts the theoretical density at 8.63 g cm⁻³.

=====

(3)
# HoNbC2

A relaxed HoNbC2 crystal (PBE-GGA, Alexandria via LeMat-Bulk).

Cell lengths 3.486, 5.735, 11.116 Å; angles 90.00, 90.00, 90.00 degrees
Atoms (fractional coordinates):
Ho 0.750 0.085 0.140
Ho 0.250 0.915 0.860
Ho 0.750 0.585 0.360
Ho 0.250 0.415 0.640
Nb 0.250 0.595 0.106
Nb 0.250 0.095 0.394
Nb 0.750 0.405 0.894
Nb 0.750 0.905 0.606
C 0.750 0.228 0.485
C 0.250 0.772 0.515
C 0.750 0.728 0.015
C 0.250 0.272 0.985
C 0.750 0.149 0.752
C 0.250 0.351 0.252
C 0.750 0.649 0.748
C 0.250 0.851 0.248

Computed properties:
The total energy comes out at -34.6 eV per formula unit. As for the space group: Pnma (62). The calculation puts the theoretical density at 8.42 g cm⁻³.

=====

| no. | energy of formation from the pure elements (eV per formula unit) |
| --- | --- |
| 1 | -0.7 |
| 2 | -0.7 |
| 3 | -1.5 |